(1)
VASP calculation (GGA-PBE) on CsSrMg after structural relaxation.

Values from the calculation:
The energy of formation from the pure elements is 0.48 eV per formula unit. The total DFT energy (no corrections) is -1.217 eV/atom. For the density of states at the Fermi level, the calculation gives 1.358 states/eV per atom.

abc: 4.4590 4.4590 16.7081
angles: 90.00 90.00 90.00
Closest atoms and distances in Å follow each position.
Space group I4mm (No. 107)
Inequivalent atoms, fractional coordinates:
1 Cs 0.0000 0.0000 0.0000 [2 per cell]  4 Mg 4.20, 4 Cs 4.46, 1 Sr 4.55
2 Sr 0.0000 0.0000 0.2722 [2 per cell]  4 Mg 3.61
3 Mg 0.0000 0.0000 0.6663 [2 per cell]  4 Sr 3.61

(2)
VASP calculation (GGA-PBE) on Ce2Cd2Ga after structural relaxation.

Values from the calculation:
The energy above the lowest structure with this stoichiometry comes out at 0.0000 eV/atom. The energy of formation from the pure elements is -0.64 eV per formula unit. The total DFT energy (no corrections) is -3.474 eV/atom. For the density of states at the Fermi level, the calculation gives 1.636 states/eV per atom.

abc: 10.3486 4.1337 6.2074
angles: 90.00 96.54 90.00
Closest atoms and distances in Å follow each position.
Space group C2/m (No. 12)
Inequivalent atoms, fractional coordinates:
1 Ce 0.2012 0.0000 0.3684 [4 per cell]  2 Ce 2.75
2 Cd 0.1010 0.0000 0.8513 [4 per cell]  1 Cd 2.94, 2 Ga 3.10, 3 Ce 3.26-3.28
3 Ga 0.0000 0.5000 0.5000 [2 per cell]  4 Cd 3.10, 6 Ce 3.11

(3)
VASP calculation (GGA-PBE) on PmSmAsO2 after structural relaxation.

Values from the calculation:
The total DFT energy (no corrections) is -7.404 eV/atom. For the density of states at the Fermi level, the calculation gives 0.476 states/eV per atom.

abc: 3.8944 3.8944 13.1952
angles: 90.00 90.00 90.00
Closest atoms and distances in Å follow each position.
Space group I4mm (No. 107)
Inequivalent atoms, fractional coordinates:
1 Pm 0.0000 0.0000 0.0000 [2 per cell]  4 O 2.30
2 Sm 0.0000 0.0000 0.6826 [2 per cell]  4 O 2.28
3 As 0.0000 0.0000 0.3411 [2 per cell]  4 Sm 3.46, 4 Pm 3.46, 8 O 3.82-3.84
4 O 0.0000 0.5000 0.0922 [4 per cell]  2 Sm 2.28, 2 Pm 2.30

(4)
VASP calculation (GGA-PBE) on ScBe11 after structural relaxation.

Values from the calculation:
The energy of formation from the pure elements is -2.08 eV per formula unit. The total DFT energy (no corrections) is -4.117 eV/atom. For the density of states at the Fermi level, the calculation gives 0.185 states/eV per atom.

abc: 8.8048 8.8048 5.6424
angles: 90.00 90.00 90.00
Closest atoms and distances in Å follow each position.
Space group I4_1/amd (No. 141, origin choice 2)
Inequivalent atoms, fractional coordinates:
1 Sc 0.0000 0.2500 0.3750 [4 per cell]  22 Be 2.77-3.05
2 Be 0.0000 0.0000 0.0000 [8 per cell]  10 Be 2.12-2.31
3 Be 0.0000 0.2500 0.8750 [4 per cell]  12 Be 2.31-2.38
4 Be 0.1265 0.0435 0.6883 [32 per cell]  9 Be 2.12-2.33

(5)
VASP calculation (GGA-PBE) on SmNiB4 after structural relaxation.

Values from the calculation:
The energy above the lowest structure with this stoichiometry comes out at 0.0938 eV/atom. The energy of formation from the pure elements is -2.78 eV per formula unit. The total DFT energy (no corrections) is -6.665 eV/atom. For the density of states at the Fermi level, the calculation gives 0.273 states/eV per atom.

abc: 7.3552 9.4134 3.4947
angles: 90.00 90.00 90.00
Closest atoms and distances in Å follow each position.
Space group Cmmm (No. 65)
Inequivalent atoms, fractional coordinates:
1 Sm 0.0000 0.1995 0.0000 [4 per cell]  14 B 2.64-2.76
2 Ni 0.1755 0.5000 0.0000 [4 per cell]  10 B 2.26-2.33
3 B 0.0000 0.4094 0.5000 [4 per cell]  3 B 1.70-1.74
4 B 0.1303 0.0000 0.5000 [4 per cell]  3 B 1.81-1.92
5 B 0.2226 0.3463 0.5000 [8 per cell]  3 B 1.74-1.86

(6)
VASP calculation (GGA-PBE) on CuHgAu2 after structural relaxation.

Values from the calculation:
The energy of formation from the pure elements is 0.15 eV per formula unit. The total DFT energy (no corrections) is -2.700 eV/atom. For the density of states at the Fermi level, the calculation gives 0.360 states/eV per atom.

abc: 3.0329 3.1836 7.3485
angles: 90.00 90.00 90.00
Closest atoms and distances in Å follow each position.
Space group Pmmm (No. 47)
Inequivalent atoms, fractional coordinates:
1 Cu 0.0000 0.0000 0.0000 [1 per cell]  8 Au 2.69
2 Hg 0.0000 0.0000 0.5000 [1 per cell]  4 Hg 3.03-3.18, 8 Au 3.06
3 Au 0.5000 0.5000 0.2111 [2 per cell]  4 Cu 2.69

(7)
VASP calculation (GGA-PBE) on TiNi after structural relaxation.

Values from the calculation:
The energy of formation from the pure elements is -0.79 eV per formula unit. The total DFT energy (no corrections) is -7.235 eV/atom. For the density of states at the Fermi level, the calculation gives 0.374 states/eV per atom.

abc: 2.9103 9.4288 4.0254
angles: 90.00 90.00 90.00
Closest atoms and distances in Å follow each position.
Space group Cmcm (No. 63)
Inequivalent atoms, fractional coordinates:
1 Ti 0.0000 0.1433 0.2500 [4 per cell]  7 Ni 2.54-2.60
2 Ni 0.0000 0.4148 0.2500 [4 per cell]  7 Ti 2.54-2.60, 2 Ni 2.58

(8)
VASP calculation (GGA-PBE) on ZrNiHg after structural relaxation.

Values from the calculation:
The energy above the lowest structure with this stoichiometry comes out at 0.2643 eV/atom. The energy of formation from the pure elements is -0.22 eV per formula unit. The total DFT energy (no corrections) is -4.950 eV/atom. For the density of states at the Fermi level, the calculation gives 1.876 states/eV per atom.

abc: 6.1966 6.1966 6.1966
angles: 90.00 90.00 90.00
Closest atoms and distances in Å follow each position.
Space group F-43m (No. 216)
Inequivalent atoms, fractional coordinates:
1 Zr 0.0000 0.0000 0.0000 [4 per cell]  4 Ni 2.68
2 Ni 0.2500 0.2500 0.2500 [4 per cell]  4 Hg 2.68, 4 Zr 2.68
3 Hg 0.0000 0.0000 0.5000 [4 per cell]  4 Ni 2.68

(9)
VASP calculation (GGA-PBE) on CdHg4 after structural relaxation.

Values from the calculation:
The energy above the lowest structure with this stoichiometry comes out at 0.0393 eV/atom. The energy of formation from the pure elements is 0.31 eV per formula unit. The total DFT energy (no corrections) is -0.363 eV/atom. For the density of states at the Fermi level, the calculation gives 0.370 states/eV per atom.

abc: 10.5272 10.5272 10.5272
angles: 90.00 90.00 90.00
Closest atoms and distances in Å follow each position.
Space group I-43m (No. 217)
Inequivalent atoms, fractional coordinates:
1 Cd 0.1499 0.1499 0.8501 [8 per cell]  4 Hg 2.94-2.95
2 Hg 0.0000 0.0000 0.3339 [12 per cell]  2 Cd 2.95, 6 Hg 3.16-3.20
3 Hg 0.0000 0.2500 0.5000 [12 per cell]  4 Hg 3.16
4 Hg 0.1890 0.1890 0.1890 [8 per cell]  1 Cd 2.94, 3 Hg 3.20

(10)
VASP calculation (GGA-PBE) on Tc2PtSe after structural relaxation.

Values from the calculation:
The total DFT energy (no corrections) is -7.410 eV/atom. For the density of states at the Fermi level, the calculation gives 1.345 states/eV per atom.

abc: 3.0248 3.0248 6.5785
angles: 90.00 90.00 90.00
Closest atoms and distances in Å follow each position.
Space group P4/mmm (No. 123)
Inequivalent atoms, fractional coordinates:
1 Tc 0.0000 0.0000 0.2302 [2 per cell]  4 Se 2.62, 4 Pt 2.78
2 Pt 0.5000 0.5000 0.5000 [1 per cell]  8 Tc 2.78, 4 Pt 3.02
3 Se 0.5000 0.5000 0.0000 [1 per cell]  8 Tc 2.62